Record 1
! KAlSe PBE-GGA relaxed; values from VASP
! * uncorrected energy: -9.08 eV/f.u.
! * ΔE to the lowest computed polymorph: 461 meV per atom
! * total magnetization: 0.00 μB per cell
&SYSTEM
  ibrav = 0, nat = 3, ntyp = 3
/
ATOMIC_SPECIES
K 39.10 K.upf
Al 26.98 Al.upf
Se 78.96 Se.upf
ATOMIC_POSITIONS angstrom
K 5.2816 3.0493 2.1562
Al 0.0000 0.0000 0.0000
Se 7.9224 4.5740 3.2343
CELL_PARAMETERS angstrom
5.2816 0.0000 0.0000
2.6408 4.5740 0.0000
2.6408 1.5247 4.3124

---

Record 2
! KAlSe PBE-GGA relaxed; values from VASP
! * uncorrected energy: -8.18 eV/f.u.
! * ΔE to the lowest computed polymorph: 760 meV per atom
! * total magnetization: 0.00 μB per cell
&SYSTEM
  ibrav = 0, nat = 3, ntyp = 3
/
ATOMIC_SPECIES
Se 78.96 Se.upf
K 39.10 K.upf
Al 26.98 Al.upf
ATOMIC_POSITIONS angstrom
Se 0.0000 0.0000 0.0000
K 7.7653 4.4833 3.1702
Al 5.1768 2.9889 2.1134
CELL_PARAMETERS angstrom
5.1768 0.0000 0.0000
2.5884 4.4833 0.0000
2.5884 1.4944 4.2269

---

Record 3
! KAlSe2 PBE-GGA relaxed; values from VASP
! * uncorrected energy: -13.21 eV/f.u.
! * total magnetization: 0.00 μB per cell
&SYSTEM
  ibrav = 0, nat = 4, ntyp = 3
/
ATOMIC_SPECIES
Al 26.98 Al.upf
K 39.10 K.upf
Se 78.96 Se.upf
ATOMIC_POSITIONS angstrom
Al 0.0000 0.0000 2.8995
K 2.0934 2.0934 0.0000
Se 2.0934 2.0934 2.8995
Se 0.0000 0.0000 0.0000
CELL_PARAMETERS angstrom
4.1869 0.0000 0.0000
0.0000 4.1869 0.0000
0.0000 0.0000 5.7990

---

Record 4
! KAlSe PBE-GGA relaxed; values from VASP
! * uncorrected energy: -10.46 eV/f.u.
! * ΔE to the lowest computed polymorph: 0 meV per atom
! * total magnetization: 0.00 μB per cell
&SYSTEM
  ibrav = 0, nat = 12, ntyp = 3
/
ATOMIC_SPECIES
Se 78.96 Se.upf
Al 26.98 Al.upf
K 39.10 K.upf
ATOMIC_POSITIONS angstrom
Se -1.5781 2.2015 1.3714
Al 4.2708 0.5362 1.7038
Se -5.4512 6.5191 3.8948
K 4.2221 5.5070 1.4291
Al -3.4790 8.0990 4.2273
Al 0.3977 4.8538 4.2273
K 0.3489 1.1894 3.9526
K 0.3454 7.4458 1.4291
Al 0.3942 3.7814 1.7038
K -3.5277 3.1282 3.9526
Se 2.2986 2.1161 1.3714
Se -1.5746 6.4337 3.8948
CELL_PARAMETERS angstrom
7.7533 0.0000 0.0000
0.0000 8.6352 0.0000
-7.7463 0.0000 5.0469

---

Record 5
! KAlSe2 PBE-GGA relaxed; values from VASP
! * uncorrected energy: -15.15 eV/f.u.
! * total magnetization: 0.00 μB per cell
&SYSTEM
  ibrav = 0, nat = 8, ntyp = 3
/
ATOMIC_SPECIES
Se 78.96 Se.upf
Al 26.98 Al.upf
K 39.10 K.upf
ATOMIC_POSITIONS angstrom
Se 2.3651 7.1350 1.2867
Al 2.3651 -9.4258 3.8602
Se 2.3651 -9.8127 1.2867
Se 2.3651 -7.1350 3.8602
Al 2.3651 9.4258 1.2867
K 2.3651 3.7463 1.2867
Se 2.3651 9.8127 3.8602
K 2.3651 -3.7463 3.8602
CELL_PARAMETERS angstrom
2.3651 -10.8191 0.0000
2.3651 10.8191 0.0000
0.0000 0.0000 5.1470

---

Record 6
! KAlSe2 PBE-GGA relaxed; values from VASP
! * uncorrected energy: -16.44 eV/f.u.
! * total magnetization: 0.00 μB per cell
&SYSTEM
  ibrav = 0, nat = 32, ntyp = 3
/
ATOMIC_SPECIES
K 39.10 K.upf
Al 26.98 Al.upf
Se 78.96 Se.upf
ATOMIC_POSITIONS angstrom
K 10.9246 -11.7482 0.9773
K 6.9986 -10.4126 -0.3446
Al 4.3931 -5.4469 -1.4135
Se 13.8903 -8.3996 -2.3154
Se 5.1452 -7.7218 -1.0675
Se 1.2978 -6.1779 -6.4705
Se 6.2737 -4.0020 -0.8681
Al 11.9673 -7.8676 -0.9444
Al 1.9738 -6.5260 -4.1589
Se 2.6039 -8.8378 -3.9369
K 8.2253 -6.7141 -0.1224
Se 3.8168 -5.0438 -3.7148
Al 9.5480 -8.9466 -3.6898
Al 10.7130 -5.3036 -3.4761
K 5.7157 -7.6794 -4.9810
K 12.0857 -11.8925 -2.7462
Al 0.8001 -6.3640 -0.5159
Se 1.3814 -8.6687 -0.1439
Al 3.2280 -9.0899 -1.6272
Se 8.7959 -6.6717 -4.0359
K 6.9425 -3.9809 -4.7588
K 1.8554 -2.5011 -2.3571
K 3.0165 -2.6453 -6.0806
Se 12.6433 -8.2156 1.3672
Se 12.5597 -5.7248 -4.9595
Se 2.5939 -4.8752 0.0788
Se 7.6674 -10.3915 -4.2352
Se 11.3472 -9.5183 -5.1821
Al 13.1410 -8.0295 -4.5874
Se 10.1243 -9.3498 -1.3885
Se 0.0507 -5.9940 -2.7879
Se 11.3372 -5.5557 -1.1664
CELL_PARAMETERS angstrom
-2.3679 -7.4020 -0.4339
2.3845 -0.3284 -7.4021
13.9245 -6.6631 2.7327

---

Number 1: E_form (uncorrected) -0.251 eV per atom. Number 2: E_form (uncorrected) 0.048 eV per atom. Number 3: E_form (uncorrected) -0.350 eV per atom. Number 4: E_form (uncorrected) -0.712 eV per atom. Number 5: E_form (uncorrected) -0.834 eV per atom. Number 6: E_form (uncorrected) -1.157 eV per atom.